{"formula": "NpH2O4", "functional": "PBE", "state": "optimized geometry", "space_group": "Cc", "dft_energy_ev_per_atom": -7.57, "cell": [[-0.470, 5.580, -5.059], [5.047, -3.890, -4.043], [-9.424, -4.138, 12.606]], "species": ["Np", "Np", "H", "H", "H", "H", "O", "O", "O", "O", "O", "O", "O", "O"], "fractional_positions": [[0.374, 0.628, 0.489], [0.628, 0.374, 0.989], [0.877, 0.382, 0.747], [0.373, 0.418, 0.738], [0.418, 0.373, 0.238], [0.382, 0.877, 0.247], [0.958, 0.429, 0.003], [0.429, 0.958, 0.503], [0.014, 0.588, 0.593], [0.588, 0.014, 0.093], [0.896, 0.834, 0.513], [0.284, 0.209, 0.418], [0.209, 0.284, 0.918], [0.834, 0.896, 0.013]]}



{"formula": "NpH2O5", "functional": "PBE", "state": "optimized geometry", "space_group": "Amm2", "dft_energy_ev_per_atom": -7.13, "cell": [[3.404, 1.249, 2.629], [3.783, 6.477, -0.347], [0.589, -1.122, 7.402]], "species": ["Np", "H", "H", "O", "O", "O", "O", "O"], "fractional_positions": [[0.291, 0.952, 0.952], [0.684, 0.521, 0.990], [0.684, 0.990, 0.521], [0.263, 0.466, 0.466], [0.278, 0.141, 0.776], [0.278, 0.776, 0.141], [0.102, 0.796, 0.796], [0.421, 0.136, 0.136]]}



{"formula": "NpHO5", "functional": "PBE", "state": "optimized geometry", "space_group": "P2_1/c", "dft_energy_ev_per_atom": -7.59, "cell": [[5.663, 0.500, 0.000], [-2.095, 11.887, 0.000], [0.000, 0.000, 6.611]], "species": ["Np", "Np", "Np", "Np", "H", "H", "H", "H", "O", "O", "O", "O", "O", "O", "O", "O", "O", "O", "O", "O", "O", "O", "O", "O", "O", "O", "O", "O"], "fractional_positions": [[0.650, 0.146, 0.015], [0.850, 0.354, 0.515], [0.350, 0.854, 0.985], [0.150, 0.646, 0.485], [0.276, 0.452, 0.683], [0.224, 0.048, 0.183], [0.724, 0.548, 0.317], [0.776, 0.952, 0.817], [0.909, 0.274, 0.836], [0.591, 0.226, 0.336], [0.091, 0.726, 0.164], [0.409, 0.774, 0.664], [0.120, 0.481, 0.668], [0.380, 0.019, 0.168], [0.880, 0.519, 0.332], [0.620, 0.981, 0.832], [0.106, 0.303, 0.406], [0.394, 0.197, 0.906], [0.894, 0.697, 0.594], [0.606, 0.803, 0.094], [0.907, 0.095, 0.125], [0.593, 0.405, 0.625], [0.093, 0.905, 0.875], [0.407, 0.595, 0.375], [0.833, 0.186, 0.706], [0.667, 0.314, 0.206], [0.167, 0.814, 0.294], [0.333, 0.686, 0.794]]}



{"formula": "Np2HO8", "functional": "PBE", "state": "optimized geometry", "space_group": "P-1", "dft_energy_ev_per_atom": -8.22, "cell": [[7.092, 3.529, 3.853], [6.225, 7.847, 3.567], [0.863, 0.665, 6.593]], "species": ["Np", "Np", "H", "O", "O", "O", "O", "O", "O", "O", "O"], "fractional_positions": [[0.441, 0.193, 0.059], [0.559, 0.807, 0.941], [0.000, 0.000, 0.000], [0.696, 0.127, 0.735], [0.150, 0.278, 0.971], [0.747, 0.082, 0.122], [0.253, 0.918, 0.878], [0.850, 0.722, 0.029], [0.304, 0.873, 0.265], [0.164, 0.275, 0.381], [0.836, 0.725, 0.619]]}



{"formula": "NpPH2O8", "functional": "PBE", "state": "optimized geometry", "space_group": "P-1", "dft_energy_ev_per_atom": -6.84, "cell": [[5.123, -0.035, -0.114], [-0.001, 4.635, -0.221], [-0.215, -0.329, 6.130]], "species": ["Np", "P", "H", "H", "O", "O", "O", "O", "O", "O", "O", "O"], "fractional_positions": [[0.000, 0.000, 0.000], [0.000, 0.000, 0.500], [0.221, 0.428, 0.585], [0.779, 0.572, 0.415], [0.141, 0.811, 0.281], [0.731, 0.751, 0.974], [0.856, 0.216, 0.324], [0.859, 0.189, 0.719], [0.269, 0.249, 0.026], [0.144, 0.784, 0.676], [0.738, 0.779, 0.467], [0.262, 0.221, 0.533]]}



{"formula": "NpPH2O6", "functional": "PBE", "state": "optimized geometry", "space_group": "P-1", "dft_energy_ev_per_atom": -7.34, "cell": [[-3.471, -3.436, 1.444], [-0.794, -1.750, 4.731], [-4.454, 1.708, 2.643]], "species": ["Np", "P", "H", "H", "O", "O", "O", "O", "O", "O"], "fractional_positions": [[0.816, 0.816, 0.552], [0.316, 0.316, 0.052], [0.504, 0.751, 0.249], [0.128, 0.882, 0.854], [0.539, 0.214, 0.271], [0.270, 0.948, 0.258], [0.952, 0.533, 0.278], [0.363, 0.684, 0.845], [0.681, 0.099, 0.826], [0.093, 0.419, 0.832]]}



{"formula": "NpPaH2O8", "functional": "PBE", "state": "optimized geometry", "space_group": "P-1", "dft_energy_ev_per_atom": -7.68, "cell": [[4.672, 0.330, -0.034], [0.486, 4.739, 0.023], [-0.117, 0.118, 7.315]], "species": ["Np", "Pa", "H", "H", "O", "O", "O", "O", "O", "O", "O", "O"], "fractional_positions": [[0.000, 0.000, 0.000], [0.000, 0.000, 0.500], [0.389, 0.594, 0.767], [0.611, 0.406, 0.233], [0.187, 0.815, 0.231], [0.747, 0.750, 0.001], [0.764, 0.237, 0.244], [0.813, 0.185, 0.769], [0.253, 0.250, 0.999], [0.236, 0.763, 0.756], [0.739, 0.741, 0.498], [0.261, 0.259, 0.502]]}



{"formula": "PrNpH2O6", "functional": "PBE", "state": "optimized geometry", "space_group": "P1", "dft_energy_ev_per_atom": -7.70, "cell": [[4.823, 0.151, -0.241], [2.538, 5.008, -0.353], [2.202, 1.430, 5.332]], "species": ["Pr", "Np", "H", "H", "O", "O", "O", "O", "O", "O"], "fractional_positions": [[0.875, 0.808, 0.565], [0.302, 0.321, 0.063], [0.500, 0.751, 0.244], [0.204, 0.883, 0.863], [0.558, 0.220, 0.292], [0.278, 0.895, 0.240], [0.935, 0.541, 0.280], [0.328, 0.735, 0.769], [0.658, 0.117, 0.838], [0.023, 0.391, 0.862]]}



{"formula": "NpReH2O8", "functional": "PBE", "state": "optimized geometry", "space_group": "P-1", "dft_energy_ev_per_atom": -7.59, "cell": [[-3.161, 1.528, 3.651], [3.093, -2.089, 3.411], [3.215, 5.510, 0.557]], "species": ["Np", "Re", "H", "H", "O", "O", "O", "O", "O", "O", "O", "O"], "fractional_positions": [[0.000, 0.000, 0.500], [0.000, 0.000, 0.000], [0.339, 0.342, 0.859], [0.661, 0.658, 0.141], [0.179, 0.834, 0.221], [0.729, 0.729, 0.007], [0.834, 0.180, 0.221], [0.821, 0.166, 0.779], [0.271, 0.271, 0.993], [0.166, 0.820, 0.779], [0.748, 0.747, 0.487], [0.252, 0.253, 0.513]]}



{"formula": "NpSbH2O8", "functional": "PBE", "state": "optimized geometry", "space_group": "P-1", "dft_energy_ev_per_atom": -6.66, "cell": [[4.650, 1.113, -0.092], [1.133, 5.084, 0.102], [-0.160, 0.217, 6.848]], "species": ["Np", "Sb", "H", "H", "O", "O", "O", "O", "O", "O", "O", "O"], "fractional_positions": [[0.000, 0.000, 0.000], [0.000, 0.000, 0.500], [0.446, 0.550, 0.703], [0.554, 0.450, 0.297], [0.192, 0.764, 0.277], [0.777, 0.802, 0.985], [0.763, 0.291, 0.279], [0.808, 0.236, 0.723], [0.223, 0.198, 0.015], [0.237, 0.709, 0.721], [0.642, 0.873, 0.500], [0.358, 0.127, 0.500]]}



{"formula": "NpH2SeO6", "functional": "PBE", "state": "optimized geometry", "space_group": "P2_1/c", "dft_energy_ev_per_atom": -6.73, "cell": [[-1.123, 2.582, 4.306], [-5.727, -0.534, -1.173], [-0.962, -6.402, 7.613]], "species": ["Np", "Np", "H", "H", "H", "H", "Se", "Se", "O", "O", "O", "O", "O", "O", "O", "O", "O", "O", "O", "O"], "fractional_positions": [[0.000, 0.500, 0.500], [0.500, 0.000, 0.000], [0.948, 0.137, 0.317], [0.552, 0.637, 0.183], [0.448, 0.363, 0.817], [0.052, 0.863, 0.683], [0.000, 0.500, 0.000], [0.500, 0.000, 0.500], [0.733, 0.458, 0.672], [0.738, 0.250, 0.044], [0.810, 0.219, 0.397], [0.690, 0.719, 0.103], [0.762, 0.750, 0.456], [0.767, 0.958, 0.828], [0.233, 0.042, 0.172], [0.238, 0.250, 0.544], [0.310, 0.281, 0.897], [0.262, 0.750, 0.956], [0.190, 0.781, 0.603], [0.267, 0.542, 0.328]]}



{"formula": "NpSiHO6", "functional": "PBE", "state": "optimized geometry", "space_group": "P-31c", "dft_energy_ev_per_atom": -7.37, "cell": [[-1.703, -3.641, -3.075], [2.867, -1.198, 3.996], [-7.143, -0.787, 4.888]], "species": ["Np", "Np", "Si", "Si", "H", "H", "O", "O", "O", "O", "O", "O", "O", "O", "O", "O", "O", "O"], "fractional_positions": [[0.333, 0.667, 0.250], [0.667, 0.333, 0.750], [0.667, 0.333, 0.250], [0.333, 0.667, 0.750], [0.000, 0.000, 0.000], [0.000, 0.000, 0.500], [0.663, 0.629, 0.135], [0.966, 0.337, 0.135], [0.337, 0.966, 0.635], [0.034, 0.663, 0.865], [0.371, 0.337, 0.365], [0.966, 0.629, 0.365], [0.629, 0.966, 0.865], [0.663, 0.034, 0.365], [0.034, 0.371, 0.635], [0.371, 0.034, 0.135], [0.629, 0.663, 0.635], [0.337, 0.371, 0.865]]}



{"formula": "SrNpH2O6", "functional": "PBE", "state": "optimized geometry", "space_group": "P-1", "dft_energy_ev_per_atom": -7.10, "cell": [[5.035, 0.232, -0.401], [-2.314, 4.895, 0.029], [-3.003, -1.990, 5.809]], "species": ["Sr", "Np", "H", "H", "O", "O", "O", "O", "O", "O"], "fractional_positions": [[0.997, 0.498, 0.480], [0.997, 0.998, 0.980], [0.570, 0.763, 0.144], [0.423, 0.232, 0.817], [0.554, 0.988, 0.762], [0.439, 0.008, 0.198], [0.733, 0.702, 0.144], [0.152, 0.319, 0.221], [0.841, 0.677, 0.739], [0.260, 0.294, 0.817]]}



{"formula": "Sr2NpHO6", "functional": "PBE", "state": "optimized geometry", "space_group": "P1", "dft_energy_ev_per_atom": -7.50, "cell": [[-4.731, 1.098, -3.943], [4.657, -2.135, -4.377], [-1.116, -2.820, 5.595]], "species": ["Sr", "Sr", "Np", "H", "O", "O", "O", "O", "O", "O"], "fractional_positions": [[0.754, 0.142, 0.440], [0.218, 0.841, 0.491], [0.002, 0.010, 0.997], [0.594, 0.539, 0.261], [0.606, 0.805, 0.831], [0.766, 0.749, 0.423], [0.379, 0.205, 0.114], [0.895, 0.270, 0.977], [0.181, 0.205, 0.483], [0.104, 0.737, 0.982]]}



{"formula": "NpTcH2O8", "functional": "PBE", "state": "optimized geometry", "space_group": "P-1", "dft_energy_ev_per_atom": -7.29, "cell": [[-4.542, -1.654, 1.403], [1.508, -4.758, -0.822], [1.953, -0.469, 6.030]], "species": ["Np", "Tc", "H", "H", "O", "O", "O", "O", "O", "O", "O", "O"], "fractional_positions": [[0.000, 0.000, 0.500], [0.000, 0.000, 0.000], [0.340, 0.330, 0.854], [0.660, 0.670, 0.146], [0.181, 0.833, 0.224], [0.729, 0.730, 0.008], [0.832, 0.181, 0.223], [0.819, 0.167, 0.776], [0.271, 0.270, 0.992], [0.168, 0.819, 0.777], [0.747, 0.749, 0.485], [0.253, 0.251, 0.515]]}



{"formula": "NpTeH2O6", "functional": "PBE", "state": "optimized geometry", "space_group": "P2_1/c", "dft_energy_ev_per_atom": -6.88, "cell": [[5.607, 0.000, 0.066], [0.000, 6.076, 0.000], [0.116, 0.000, 7.797]], "species": ["Np", "Np", "Te", "Te", "H", "H", "H", "H", "O", "O", "O", "O", "O", "O", "O", "O", "O", "O", "O", "O"], "fractional_positions": [[0.000, 0.500, 0.500], [0.500, 0.000, 0.000], [0.000, 0.500, 0.000], [0.500, 0.000, 0.500], [0.736, 0.246, 0.273], [0.764, 0.746, 0.227], [0.236, 0.254, 0.773], [0.264, 0.754, 0.727], [0.877, 0.509, 0.739], [0.737, 0.246, 0.071], [0.740, 0.249, 0.405], [0.760, 0.749, 0.095], [0.763, 0.746, 0.429], [0.623, 0.009, 0.761], [0.377, 0.991, 0.239], [0.237, 0.254, 0.571], [0.240, 0.251, 0.905], [0.263, 0.754, 0.929], [0.260, 0.751, 0.595], [0.123, 0.491, 0.261]]}



{"formula": "NpTiH2O6", "functional": "PBE", "state": "optimized geometry", "space_group": "P-1", "dft_energy_ev_per_atom": -7.97, "cell": [[-1.134, -1.890, 4.594], [-1.394, -2.730, -4.550], [5.481, 0.068, -1.183]], "species": ["Np", "Ti", "H", "H", "O", "O", "O", "O", "O", "O"], "fractional_positions": [[0.997, 0.498, 0.480], [0.997, 0.998, 0.980], [0.631, 0.730, 0.197], [0.362, 0.266, 0.763], [0.512, 0.860, 0.730], [0.481, 0.135, 0.230], [0.846, 0.762, 0.213], [0.104, 0.362, 0.223], [0.889, 0.634, 0.737], [0.147, 0.233, 0.748]]}



{"formula": "NpTl2HO6", "functional": "PBE", "state": "optimized geometry", "space_group": "P2_1/c", "dft_energy_ev_per_atom": -6.43, "cell": [[6.105, 0.000, 0.062], [0.000, 4.604, 0.000], [-0.117, 0.000, 9.950]], "species": ["Np", "Np", "Tl", "Tl", "Tl", "Tl", "H", "H", "O", "O", "O", "O", "O", "O", "O", "O", "O", "O", "O", "O"], "fractional_positions": [[0.000, 0.500, 0.500], [0.500, 0.000, 0.000], [0.000, 0.000, 0.177], [0.500, 0.500, 0.323], [0.500, 0.500, 0.677], [0.000, 0.000, 0.823], [0.000, 0.500, 0.000], [0.500, 0.000, 0.500], [0.858, 0.269, 0.647], [0.876, 0.279, 0.000], [0.858, 0.268, 0.354], [0.642, 0.768, 0.146], [0.624, 0.779, 0.500], [0.642, 0.769, 0.853], [0.358, 0.231, 0.147], [0.376, 0.221, 0.500], [0.358, 0.232, 0.854], [0.124, 0.721, 0.000], [0.142, 0.732, 0.646], [0.142, 0.731, 0.353]]}



{"formula": "NpTlH2O6", "functional": "PBE", "state": "optimized geometry", "space_group": "P-1", "dft_energy_ev_per_atom": -6.73, "cell": [[5.160, 0.254, -0.213], [-2.345, 4.691, 0.050], [-2.878, -1.799, 5.293]], "species": ["Np", "Tl", "H", "H", "O", "O", "O", "O", "O", "O"], "fractional_positions": [[0.997, 0.998, 0.980], [0.997, 0.498, 0.480], [0.661, 0.781, 0.244], [0.333, 0.216, 0.718], [0.539, 0.936, 0.755], [0.454, 0.060, 0.206], [0.827, 0.745, 0.230], [0.123, 0.346, 0.203], [0.870, 0.649, 0.758], [0.165, 0.249, 0.729]]}